# 1
Compound: ThMg4Sc5
Source: Alexandria via LeMat-Bulk
Functional: PBE
Structure: optimized geometry

Lattice parameters (Å, degrees): 3.558 3.558 19.122 90.00 90.00 90.00
Sites, in units of the cell vectors:
1 Sc 0.500 0.500 0.884
2 Sc 0.500 0.500 0.689
3 Sc 0.500 0.500 0.311
4 Sc 0.500 0.500 0.116
5 Sc 0.500 0.500 0.500
6 Th 0.000 0.000 0.000
7 Mg 0.000 0.000 0.786
8 Mg 0.000 0.000 0.405
9 Mg 0.000 0.000 0.595
10 Mg 0.000 0.000 0.214

Output
total energy: -4.5816 eV/atom
space-group type: No. 123

# 2
Compound: ThMgSc
Source: Alexandria via LeMat-Bulk
Functional: PBE
Structure: optimized geometry

Lattice parameters (Å, degrees): 3.485 3.485 13.122 90.00 90.00 90.00
Sites, in units of the cell vectors:
1 Sc 0.000 0.500 0.227
2 Sc 0.500 0.000 0.773
3 Mg 0.000 0.500 0.929
4 Mg 0.500 0.000 0.071
5 Th 0.500 0.000 0.403
6 Th 0.000 0.500 0.597

Output
energy relative to the lowest polymorph listed for this composition: 0 meV per atom
space-group type: No. 129

# 3
Compound: Th2MgSc
Source: Alexandria via LeMat-Bulk
Functional: PBE
Structure: optimized geometry

Lattice parameters (Å, degrees): 5.009 5.009 9.781 104.87 104.87 89.97
Sites, in units of the cell vectors:
1 Th 0.500 0.000 0.500
2 Th 0.868 0.868 0.236
3 Th 0.000 0.500 0.500
4 Th 0.132 0.132 0.764
5 Sc 0.369 0.369 0.239
6 Sc 0.631 0.631 0.761
7 Mg 0.250 0.750 0.000
8 Mg 0.750 0.250 0.000

Output
energy relative to the lowest polymorph listed for this composition: 0 meV per atom
space-group type: No. 139

| no. | V (Å³ per cell) |
| --- | --- |
| 1 | 242.07 |
| 2 | 159.40 |
| 3 | 228.71 |